First-principles (GGA-PBEsol) data for a relaxed structure of Cs3NbCd, as listed in Alexandria. Values from VASP.

Computed properties:
- Symmetry: No. 221
- M_tot: 6.1 Bohr magnetons per cell
- Energy: -1.795 eV/atom

Cell and atoms, written as Quantum ESPRESSO input:
```
&SYSTEM
  ibrav = 0, nat = 5, ntyp = 3
/
ATOMIC_SPECIES
Cs 132.91 Cs.upf
Nb 92.91 Nb.upf
Cd 112.41 Cd.upf
CELL_PARAMETERS angstrom
7.086 0.000 0.000
0.000 7.086 0.000
0.000 0.000 7.086
ATOMIC_POSITIONS crystal
Cs 0.000 0.000 0.500
Cs 0.500 0.000 0.000
Cs 0.000 0.500 0.000
Nb 0.000 0.000 0.000
Cd 0.500 0.500 0.500
```